1.
VASP calculation (GGA-PBE) on crystalline Cs2PrP2Se6 at its relaxed geometry.

Values from the calculation:
- Final energy: -4.25 eV/atom

CIF file:
```
data_Cs2PrP2Se6
_space_group_name_H-M_alt 'R -3 m'
_space_group_IT_number 166
_space_group_name_Hall '-R 3 2"'
_cell_length_a 7.5976
_cell_length_b 7.5976
_cell_length_c 21.9446
_cell_angle_alpha 90.00
_cell_angle_beta 90.00
_cell_angle_gamma 120.00
loop_
_atom_site_label
_atom_site_fract_x
_atom_site_fract_y
_atom_site_fract_z
Cs1 0.0000 0.0000 0.2389
Pr1 0.0000 0.0000 0.0000
P1 0.0000 0.0000 0.4454
Se1 0.0049 0.5024 0.7593
```


2.
VASP calculation (GGA-PBE) on crystalline KLa2PdW at its relaxed geometry.

Values from the calculation:
- Final energy: -5.08 eV/atom

CIF file:
```
data_KLa2PdW
_space_group_name_H-M_alt 'P 4/m m m'
_space_group_IT_number 123
_space_group_name_Hall '-P 4 2'
_cell_length_a 5.8301
_cell_length_b 5.8301
_cell_length_c 4.9721
_cell_angle_alpha 90.00
_cell_angle_beta 90.00
_cell_angle_gamma 90.00
loop_
_atom_site_label
_atom_site_fract_x
_atom_site_fract_y
_atom_site_fract_z
K1 0.0000 0.0000 0.0000
La1 0.0000 0.5000 0.5000
Pd1 0.5000 0.5000 0.5000
W1 0.5000 0.5000 0.0000
```


3.
VASP calculation (GGA-PBE) on crystalline MnBr at its relaxed geometry.

Values from the calculation:
- Final energy: -5.29 eV/atom

CIF file:
```
data_MnBr
_space_group_name_H-M_alt 'P -6 m 2'
_space_group_IT_number 187
_space_group_name_Hall 'P -6 2'
_cell_length_a 3.5152
_cell_length_b 3.5152
_cell_length_c 3.7520
_cell_angle_alpha 90.00
_cell_angle_beta 90.00
_cell_angle_gamma 120.00
loop_
_atom_site_label
_atom_site_fract_x
_atom_site_fract_y
_atom_site_fract_z
Mn1 0.0000 0.0000 0.0000
Br1 0.3333 0.6667 0.5000
```


4.
VASP calculation (GGA-PBE) on crystalline PuZrBi at its relaxed geometry.

Values from the calculation:
- ΔE to the lowest computed polymorph: 306 meV per atom

CIF file:
```
data_PuZrBi
_space_group_name_H-M_alt 'P -6 m 2'
_space_group_IT_number 187
_space_group_name_Hall 'P -6 2'
_cell_length_a 5.2623
_cell_length_b 5.2623
_cell_length_c 3.3604
_cell_angle_alpha 90.00
_cell_angle_beta 90.00
_cell_angle_gamma 120.00
loop_
_atom_site_label
_atom_site_fract_x
_atom_site_fract_y
_atom_site_fract_z
Pu1 0.0000 0.0000 0.0000
Zr1 0.6667 0.3333 0.5000
Bi1 0.3333 0.6667 0.5000
```


5.
VASP calculation (GGA-PBE) on crystalline Tl2AgPb at its relaxed geometry.

Values from the calculation:
- Final energy: -2.74 eV/atom

CIF file:
```
data_Tl2AgPb
_space_group_name_H-M_alt 'C m m m'
_space_group_IT_number 65
_space_group_name_Hall '-C 2 2'
_cell_length_a 4.8472
_cell_length_b 4.8744
_cell_length_c 9.1690
_cell_angle_alpha 90.00
_cell_angle_beta 90.00
_cell_angle_gamma 90.00
loop_
_atom_site_label
_atom_site_fract_x
_atom_site_fract_y
_atom_site_fract_z
Tl1 0.0000 0.0000 0.2186
Ag1 0.0000 0.5000 0.0000
Pb1 0.0000 0.5000 0.5000
```


6.
VASP calculation (GGA-PBE) on crystalline Hg2Se at its relaxed geometry.

Values from the calculation:
- ΔE to the lowest computed polymorph: 221 meV per atom

CIF file:
```
data_Hg2Se
_space_group_name_H-M_alt 'I 4/m c m'
_space_group_IT_number 140
_space_group_name_Hall '-I 4 2c'
_cell_length_a 6.9330
_cell_length_b 6.9330
_cell_length_c 6.4950
_cell_angle_alpha 90.00
_cell_angle_beta 90.00
_cell_angle_gamma 90.00
loop_
_atom_site_label
_atom_site_fract_x
_atom_site_fract_y
_atom_site_fract_z
Hg1 0.1431 0.3569 0.0000
Se1 0.0000 0.0000 0.2500
```


7.
VASP calculation (GGA-PBE) on crystalline Pr5Mg6 at its relaxed geometry.

Values from the calculation:
- Final energy: -3.03 eV/atom

CIF file:
```
data_Pr5Mg6
_space_group_name_H-M_alt 'I m m m'
_space_group_IT_number 71
_space_group_name_Hall '-I 2 2'
_cell_length_a 5.4857
_cell_length_b 7.6870
_cell_length_c 16.1684
_cell_angle_alpha 90.00
_cell_angle_beta 90.00
_cell_angle_gamma 90.00
loop_
_atom_site_label
_atom_site_fract_x
_atom_site_fract_y
_atom_site_fract_z
Pr1 0.0000 0.0000 0.0000
Pr2 0.0000 0.0000 0.3075
Pr3 0.0000 0.5000 0.3369
Mg1 0.0000 0.2127 0.5000
Mg2 0.0000 0.2916 0.1442
```


8.
VASP calculation (GGA-PBE) on crystalline Tm8Zn2Fe at its relaxed geometry.

Values from the calculation:
- ΔE to the lowest computed polymorph: 0 meV per atom

CIF file:
```
data_Tm8Zn2Fe
_space_group_name_H-M_alt 'C 1 2/m 1'
_space_group_IT_number 12
_cell_length_a 16.9591
_cell_length_b 5.1140
_cell_length_c 6.6317
_cell_angle_alpha 90.00
_cell_angle_beta 108.89
_cell_angle_gamma 90.00
loop_
_space_group_symop_operation_xyz
'x,y,z'
'-x,-y,-z'
'-x,y,-z'
'x,-y,z'
'x+1/2,y+1/2,z'
'-x+1/2,-y+1/2,-z'
'-x+1/2,y+1/2,-z'
'x+1/2,-y+1/2,z'
loop_
_atom_site_label
_atom_site_fract_x
_atom_site_fract_y
_atom_site_fract_z
Tm1 0.0251 0.0000 0.2910
Tm2 0.0907 0.5000 0.9265
Tm3 0.1567 0.5000 0.4621
Tm4 0.1984 0.0000 0.8028
Zn1 0.1834 0.0000 0.2130
Fe1 0.0000 0.5000 0.5000
```


9.
VASP calculation (GGA-PBE) on crystalline K4PuNp3S8 at its relaxed geometry.

Values from the calculation:
- Final energy: -7.09 eV/atom

CIF file:
```
data_K4PuNp3S8
_space_group_name_H-M_alt 'R -3 m'
_space_group_IT_number 166
_space_group_name_Hall '-R 3 2"'
_cell_length_a 8.2268
_cell_length_b 8.2268
_cell_length_c 22.0269
_cell_angle_alpha 90.00
_cell_angle_beta 90.00
_cell_angle_gamma 120.00
loop_
_atom_site_label
_atom_site_fract_x
_atom_site_fract_y
_atom_site_fract_z
K1 0.0000 0.0000 0.0000
K2 0.0000 0.5000 0.0000
Pu1 0.0000 0.0000 0.5000
Np1 0.0000 0.5000 0.5000
S1 0.0000 0.0000 0.2327
S2 0.0044 0.5022 0.7660
```


10.
VASP calculation (GGA-PBE) on crystalline Rb2AcZr2O7 at its relaxed geometry.

Values from the calculation:
- Final energy: -7.56 eV/atom

CIF file:
```
data_Rb2AcZr2O7
_space_group_name_H-M_alt 'I 4/m m m'
_space_group_IT_number 139
_space_group_name_Hall '-I 4 2'
_cell_length_a 4.1741
_cell_length_b 4.1741
_cell_length_c 23.4634
_cell_angle_alpha 90.00
_cell_angle_beta 90.00
_cell_angle_gamma 90.00
loop_
_atom_site_label
_atom_site_fract_x
_atom_site_fract_y
_atom_site_fract_z
Rb1 0.0000 0.0000 0.1947
Ac1 0.0000 0.0000 0.0000
Zr1 0.0000 0.0000 0.4042
O1 0.0000 0.0000 0.3203
O2 0.0000 0.0000 0.5000
O3 0.0000 0.5000 0.0775
```


11.
VASP calculation (GGA-PBE) on crystalline Mg2Ni2Ge at its relaxed geometry.

Values from the calculation:
- ΔE to the lowest computed polymorph: 0 meV per atom

CIF file:
```
data_Mg2Ni2Ge
_space_group_name_H-M_alt 'I m m m'
_space_group_IT_number 71
_space_group_name_Hall '-I 2 2'
_cell_length_a 3.8921
_cell_length_b 5.0381
_cell_length_c 7.9247
_cell_angle_alpha 90.00
_cell_angle_beta 90.00
_cell_angle_gamma 90.00
loop_
_atom_site_label
_atom_site_fract_x
_atom_site_fract_y
_atom_site_fract_z
Mg1 0.0000 0.0000 0.1943
Ni1 0.0000 0.2591 0.5000
Ge1 0.0000 0.5000 0.0000
```


12.
VASP calculation (GGA-PBE) on crystalline Ba5Ir at its relaxed geometry.

Values from the calculation:
- ΔE to the lowest computed polymorph: 0 meV per atom

CIF file:
```
data_Ba5Ir
_space_group_name_H-M_alt 'P m m a'
_space_group_IT_number 51
_cell_length_a 12.3928
_cell_length_b 4.5923
_cell_length_c 10.7032
_cell_angle_alpha 90.00
_cell_angle_beta 90.00
_cell_angle_gamma 90.00
loop_
_space_group_symop_operation_xyz
'x,y,z'
'-x,-y,-z'
'-x+1/2,-y,z'
'x+1/2,y,-z'
'x+1/2,-y,-z'
'-x+1/2,y,z'
'-x,y,-z'
'x,-y,z'
loop_
_atom_site_label
_atom_site_fract_x
_atom_site_fract_y
_atom_site_fract_z
Ba1 0.0000 0.0000 0.0000
Ba2 0.0947 0.5000 0.3052
Ba3 0.2500 0.0000 0.6238
Ba4 0.2500 0.5000 0.9711
Ir1 0.2500 0.0000 0.1682
```